Record 1
CeYH2 | PBE | relaxed

a = 3.491 Å, b = 3.491 Å, c = 6.201 Å
α = 73.65°, β = 73.65°, γ = 60.00°
Atoms (fractional coordinates):
H1 0.255 0.255 0.236
H2 0.745 0.745 0.764
Y1 0.000 0.000 0.000
Ce1 0.500 0.500 0.500

Calculated values
The space-group type is No. 166. As for the total energy: -20.537 eV per cell. As for the relative energy among the computed polymorphs: 0.00 kJ per mole of atoms. The value obtained for the volume is 15.5 A^3/atom.

***

Record 2
Ce2ZnH | PBE | relaxed

a = 3.091 Å, b = 3.091 Å, c = 9.710 Å
α = 80.84°, β = 80.84°, γ = 60.00°
Atoms (fractional coordinates):
Ce1 0.890 0.890 0.330
Ce2 0.110 0.110 0.670
H1 0.500 0.500 0.500
Zn1 0.000 0.000 0.000

Calculated values
The space-group type is No. 166. As for the total energy: -16.265 eV per cell. As for the relative energy among the computed polymorphs: 18.61 kJ per mole of atoms. The value obtained for the volume is 19.7 A^3/atom.